No. 1
VASP calculation (PBE-GGA) on a relaxed NbFePt2 crystal.

Cell lengths 4.4304, 4.4304, 4.4304 Å; angles 60.00, 60.00, 60.00 degrees
Sites, in units of the cell vectors:
Nb 0.5000 0.5000 0.5000
Fe 0.0000 0.0000 0.0000
Pt 0.2500 0.2500 0.2500
Pt 0.7500 0.7500 0.7500

Calculated values
relative energy among the computed polymorphs = 40.78 kJ/mol of atoms
magnetization = 0.0 μB per cell
volume = 61.5 Å³ per cell
ΔE_f = -0.1 eV/f.u.


No. 2
VASP calculation (PBE-GGA) on a relaxed Pr4Sm4Dy3 crystal.

Cell lengths 5.7678, 6.7472, 10.8024 Å; angles 90.00, 90.00, 115.30 degrees
Sites, in units of the cell vectors:
Pr 0.7546 0.5093 0.7951
Pr 0.7546 0.5093 0.2049
Pr 0.8870 0.7739 0.5000
Pr 0.9588 0.9176 0.0000
Sm 0.6143 0.2285 0.5000
Sm 0.5477 0.0954 0.0000
Sm 0.1043 0.2086 0.6982
Sm 0.1043 0.2086 0.3018
Dy 0.4095 0.8190 0.2905
Dy 0.4095 0.8190 0.7095
Dy 0.2538 0.5076 0.0000

Calculated values
relative energy among the computed polymorphs = 2.17 kJ/mol of atoms
magnetization = 0.0 μB per cell
volume = 380.1 Å³ per cell
ΔE_f = 1.6 eV/f.u.


No. 3
VASP calculation (PBE-GGA) on a relaxed LiAsSe2Br crystal.

Cell lengths 4.7819, 4.7819, 4.7166 Å; angles 90.00, 90.00, 90.00 degrees
Sites, in units of the cell vectors:
As 0.5000 0.5000 0.5000
Se 0.0000 0.5000 0.0000
Se 0.5000 0.0000 0.0000
Br 0.0000 0.0000 0.5000
Li 0.0000 0.0000 0.0000

Calculated values
relative energy among the computed polymorphs = 40.70 kJ/mol of atoms
ΔE_f (raw) = 311 meV per atom
magnetization = 0.0 μB per cell
volume = 107.9 Å³ per cell


No. 4
VASP calculation (PBE-GGA) on a relaxed CrTc2Ru crystal.

Cell lengths 3.7163, 3.7163, 9.1059 Å; angles 78.23, 78.23, 90.00 degrees
Sites, in units of the cell vectors:
Ru 0.0000 0.0000 0.0000
Ru 0.7500 0.2500 0.5000
Tc 0.5975 0.1250 0.2500
Tc 0.1525 0.6250 0.2500
Tc 0.3750 0.4025 0.7500
Tc 0.8750 0.8475 0.7500
Cr 0.5000 0.5000 0.0000
Cr 0.2500 0.7500 0.5000

Calculated values
relative energy among the computed polymorphs = 58.91 kJ/mol of atoms
magnetization = 0.0 μB per cell
volume = 120.4 Å³ per cell
ΔE_f = 2.9 eV/f.u.


No. 5
VASP calculation (PBE-GGA) on a relaxed Ce5ZnCdOs2 crystal.

Cell lengths 7.7700, 7.7700, 9.3042 Å; angles 114.68, 114.68, 90.00 degrees
Each line ends with the local moment (μB).
Sites, in units of the cell vectors:
Ce 0.9179 0.4179 0.2447  0.39
Ce 0.6732 0.1732 0.7553  0.39
Ce 0.0821 0.5821 0.7553  0.39
Ce 0.1732 0.0821 0.7553  0.39
Ce 0.5821 0.6732 0.7553  0.39
Ce 0.8268 0.9179 0.2447  0.39
Ce 0.4179 0.3268 0.2447  0.39
Ce 0.3268 0.8268 0.2447  0.39
Ce 0.5000 0.5000 0.0000  0.54
Ce 0.0000 0.0000 0.0000  0.54
Zn 0.2500 0.7500 0.5000  0.01
Zn 0.7500 0.2500 0.5000  0.01
Cd 0.2500 0.2500 0.5000  0.00
Cd 0.7500 0.7500 0.5000  0.00
Os 0.1202 0.3798 0.0000  -0.08
Os 0.6202 0.1202 0.0000  -0.08
Os 0.3798 0.8798 0.0000  -0.08
Os 0.8798 0.6202 0.0000  -0.08

Calculated values
magnetization = 4.8 μB per cell
volume = 453.3 Å³ per cell
ΔE_f = -1.0 eV/f.u.


No. 6
VASP calculation (PBE-GGA) on a relaxed Zn7CoNi2 crystal.

Cell lengths 4.0982, 4.0982, 9.9284 Å; angles 90.00, 90.00, 120.00 degrees
Sites, in units of the cell vectors:
Zn 0.6667 0.3333 0.5905
Zn 0.6667 0.3333 0.8521
Zn 0.0000 0.0000 0.7351
Zn 0.0000 0.0000 0.2580
Zn 0.3333 0.6667 0.4422
Zn 0.3333 0.6667 0.9748
Zn 0.6667 0.3333 0.1101
Co 0.0000 0.0000 0.9966
Ni 0.3333 0.6667 0.7067
Ni 0.6667 0.3333 0.3505

Calculated values
magnetization = 0.0 μB per cell
volume = 144.4 Å³ per cell
ΔE_f = 0.1 eV/f.u.


No. 7
VASP calculation (PBE-GGA) on a relaxed CaCoRhW2 crystal.

Cell lengths 4.7603, 4.7521, 4.7603 Å; angles 90.00, 90.00, 90.00 degrees
Each line ends with the local moment (μB).
Sites, in units of the cell vectors:
Co 0.0000 0.5000 0.0000  1.75
Ca 0.5000 0.5000 0.5000  0.02
Rh 0.0000 0.0000 0.0000  0.16
W 0.0000 0.0000 0.5000  0.36
W 0.5000 0.0000 0.0000  0.45

Calculated values
magnetization = 2.9 μB per cell
volume = 107.7 Å³ per cell
ΔE_f = 7.1 eV/f.u.


No. 8
VASP calculation (PBE-GGA) on a relaxed KAcSnS3 crystal.

Cell lengths 4.2616, 8.1947, 12.0869 Å; angles 103.73, 90.00, 90.00 degrees
Sites, in units of the cell vectors:
K 0.7500 0.7612 0.7419
K 0.2500 0.2388 0.2581
Ac 0.2500 0.6644 0.1438
Ac 0.7500 0.3356 0.8562
Sn 0.2500 0.1564 0.5712
Sn 0.7500 0.8436 0.4288
S 0.2500 0.6415 0.3876
S 0.7500 0.9237 0.2353
S 0.7500 0.4064 0.1079
S 0.7500 0.3585 0.6124
S 0.2500 0.5936 0.8921
S 0.2500 0.0763 0.7647

Calculated values
ΔE_f (raw) = -1367 meV per atom
magnetization = 0.0 μB per cell
volume = 410.1 Å³ per cell


No. 9
VASP calculation (PBE-GGA) on a relaxed Li3ScSe3 crystal.

Cell lengths 7.1777, 7.1777, 7.6972 Å; angles 62.21, 62.21, 60.00 degrees
Sites, in units of the cell vectors:
Li 0.4107 0.8174 0.6437
Li 0.8174 0.1283 0.6437
Li 0.1283 0.4107 0.6437
Li 0.8717 0.5893 0.3563
Li 0.1826 0.8717 0.3563
Li 0.5893 0.1826 0.3563
Sc 0.3338 0.3338 0.9985
Sc 0.6662 0.6662 0.0015
Se 0.2853 0.5508 0.2378
Se 0.9261 0.2853 0.2378
Se 0.5508 0.9261 0.2378
Se 0.4492 0.0739 0.7622
Se 0.0739 0.7147 0.7622
Se 0.7147 0.4492 0.7622

Calculated values
ΔE_f (raw) = -1408 meV per atom
magnetization = 0.0 μB per cell
volume = 289.4 Å³ per cell


No. 10
VASP calculation (PBE-GGA) on a relaxed LiHf2Ir2 crystal.

Cell lengths 7.8427, 7.8427, 3.0398 Å; angles 90.00, 90.00, 90.00 degrees
Sites, in units of the cell vectors:
Ir 0.1458 0.6458 0.5000
Ir 0.6458 0.8542 0.5000
Ir 0.8542 0.3542 0.5000
Ir 0.3542 0.1458 0.5000
Hf 0.3516 0.8516 0.0000
Hf 0.8516 0.6484 0.0000
Hf 0.6484 0.1484 0.0000
Hf 0.1484 0.3516 0.0000
Li 0.0000 0.0000 0.0000
Li 0.5000 0.5000 0.0000

Calculated values
relative energy among the computed polymorphs = 6.95 kJ/mol of atoms
magnetization = 0.0 μB per cell
volume = 187.0 Å³ per cell
ΔE_f = -3.1 eV/f.u.


No. 11
VASP calculation (PBE-GGA) on a relaxed Ni2PtBr crystal.

Cell lengths 6.8234, 6.8234, 5.4951 Å; angles 51.62, 51.62, 90.00 degrees
Each line ends with the local moment (μB).
Sites, in units of the cell vectors:
Ni 0.6101 0.1250 0.2500  0.47
Ni 0.1399 0.6250 0.2500  0.48
Ni 0.3750 0.3899 0.7500  0.43
Ni 0.8750 0.8601 0.7500  0.46
Br 0.5000 0.5000 0.0000  0.05
Br 0.2500 0.7500 0.5000  0.05
Pt 0.0000 0.0000 0.0000  0.12
Pt 0.7500 0.2500 0.5000  0.12

Calculated values
relative energy among the computed polymorphs = 29.71 kJ/mol of atoms
ΔE_f (raw) = 516 meV per atom
magnetization = 2.1 μB per cell
volume = 122.4 Å³ per cell


No. 12
VASP calculation (PBE-GGA) on a relaxed Li2MgCdP2 crystal.

Cell lengths 4.2938, 4.2938, 6.0602 Å; angles 90.00, 90.00, 90.00 degrees
Sites, in units of the cell vectors:
Li 0.5000 0.5000 0.0000
Li 0.0000 0.0000 0.5000
Mg 0.0000 0.0000 0.0000
Cd 0.5000 0.5000 0.5000
P 0.5000 0.0000 0.7589
P 0.0000 0.5000 0.2411

Calculated values
relative energy among the computed polymorphs = 0.00 kJ/mol of atoms
magnetization = 0.0 μB per cell
volume = 111.7 Å³ per cell
ΔE_f = -3.7 eV/f.u.


No. 13
VASP calculation (PBE-GGA) on a relaxed Pr2Si4Ni3Os crystal.

Cell lengths 4.0638, 4.0638, 9.8439 Å; angles 90.00, 90.00, 90.00 degrees
Sites, in units of the cell vectors:
Pr 0.5000 0.0000 0.2401
Pr 0.0000 0.5000 0.7599
Si 0.5000 0.5000 0.0000
Si 0.0000 0.0000 0.0000
Si 0.5000 0.0000 0.6314
Si 0.0000 0.5000 0.3686
Ni 0.0000 0.0000 0.5000
Ni 0.5000 0.0000 0.8789
Ni 0.0000 0.5000 0.1211
Os 0.5000 0.5000 0.5000

Calculated values
ΔE_f (raw) = -764 meV per atom
magnetization = 0.0 μB per cell
volume = 162.6 Å³ per cell


No. 14
VASP calculation (PBE-GGA) on a relaxed CeThCd4 crystal.

Cell lengths 5.9824, 5.9824, 5.9824 Å; angles 60.00, 60.00, 60.00 degrees
Each line ends with the local moment (μB).
Sites, in units of the cell vectors:
Ce 0.2500 0.2500 0.2500  0.88
Th 0.0000 0.0000 0.0000  0.17
Cd 0.6249 0.6249 0.1254  0.00
Cd 0.6249 0.1254 0.6249  0.00
Cd 0.6249 0.6249 0.6249  0.00
Cd 0.1254 0.6249 0.6249  0.00

Calculated values
relative energy among the computed polymorphs = 6.02 kJ/mol of atoms
magnetization = 1.4 μB per cell
volume = 151.4 Å³ per cell
ΔE_f = -0.9 eV/f.u.


No. 15
VASP calculation (PBE-GGA) on a relaxed Ca2ZrRh crystal.

Cell lengths 6.0466, 6.0466, 6.0466 Å; angles 139.62, 139.62, 58.42 degrees
Sites, in units of the cell vectors:
Ca 0.0000 0.0000 0.0000
Ca 0.5000 0.5000 0.0000
Rh 0.2500 0.7500 0.5000
Zr 0.7500 0.2500 0.5000

Calculated values
relative energy among the computed polymorphs = 34.76 kJ/mol of atoms
magnetization = 0.0 μB per cell
volume = 91.9 Å³ per cell
ΔE_f = 0.4 eV/f.u.


No. 16
VASP calculation (PBE-GGA) on a relaxed Na3Cd5Ag2 crystal.

Cell lengths 4.6448, 10.1675, 10.1675 Å; angles 90.00, 90.00, 90.00 degrees
Sites, in units of the cell vectors:
Na 0.0000 0.3236 0.8236
Na 0.0000 0.6764 0.1764
Na 0.0000 0.1764 0.3236
Na 0.0000 0.8236 0.6764
Na 0.0000 0.0000 0.0000
Na 0.0000 0.5000 0.5000
Cd 0.5000 0.2059 0.0703
Cd 0.5000 0.7941 0.9297
Cd 0.5000 0.9297 0.2059
Cd 0.5000 0.0703 0.7941
Cd 0.5000 0.2941 0.5703
Cd 0.5000 0.7059 0.4297
Cd 0.5000 0.5703 0.7059
Cd 0.5000 0.4297 0.2941
Cd 0.5000 0.0000 0.5000
Cd 0.5000 0.5000 0.0000
Ag 0.0000 0.1175 0.6175
Ag 0.0000 0.8825 0.3825
Ag 0.0000 0.3825 0.1175
Ag 0.0000 0.6175 0.8825

Calculated values
relative energy among the computed polymorphs = 0.00 kJ/mol of atoms
magnetization = 0.0 μB per cell
volume = 480.2 Å³ per cell
ΔE_f = -0.9 eV/f.u.


No. 17
VASP calculation (PBE-GGA) on a relaxed ZrHgF crystal.

Cell lengths 3.1813, 3.1771, 14.6562 Å; angles 90.00, 90.00, 120.04 degrees
Sites, in units of the cell vectors:
Hg 0.6096 0.2191 0.0000
Hg 0.2887 0.5774 0.5000
F 0.6088 0.2177 0.2663
F 0.6088 0.2177 0.7337
Zr 0.2753 0.5507 0.8296
Zr 0.2753 0.5507 0.1704

Calculated values
ΔE_f (raw) = -1397 meV per atom
magnetization = 0.0 μB per cell
volume = 128.2 Å³ per cell


No. 18
VASP calculation (PBE-GGA) on a relaxed LiCd2Hg2 crystal.

Cell lengths 4.1881, 4.1881, 7.7264 Å; angles 74.27, 74.27, 90.00 degrees
Sites, in units of the cell vectors:
Li 0.0000 0.0000 0.0000
Hg 0.4025 0.4025 0.1950
Hg 0.5975 0.5975 0.8050
Cd 0.7500 0.2500 0.5000
Cd 0.2500 0.7500 0.5000

Calculated values
relative energy among the computed polymorphs = 8.13 kJ/mol of atoms
magnetization = 0.0 μB per cell
volume = 125.2 Å³ per cell
ΔE_f = -0.2 eV/f.u.


No. 19
VASP calculation (PBE-GGA) on a relaxed Ce3Pr2Os2 crystal.

Cell lengths 3.9199, 6.2895, 8.6825 Å; angles 112.83, 90.00, 108.16 degrees
Sites, in units of the cell vectors:
Ce 0.5000 0.0000 0.0000
Ce 0.6218 0.2436 0.4425
Ce 0.3782 0.7564 0.5575
Pr 0.8417 0.6833 0.1936
Pr 0.1583 0.3167 0.8064
Os 0.8597 0.7195 0.7647
Os 0.1403 0.2805 0.2354

Calculated values
magnetization = 0.0 μB per cell
volume = 185.7 Å³ per cell
ΔE_f = -1.0 eV/f.u.


No. 20
VASP calculation (PBE-GGA) on a relaxed Pm2TlHg3 crystal.

Cell lengths 6.1844, 6.1844, 9.4236 Å; angles 102.62, 102.62, 109.52 degrees
Sites, in units of the cell vectors:
Pm 0.2500 0.7500 0.5000
Pm 0.7529 0.7529 0.0000
Pm 0.7500 0.2500 0.5000
Pm 0.2471 0.2471 0.0000
Tl 0.6667 0.6667 0.3333
Tl 0.3333 0.3333 0.6667
Hg 0.3308 0.8343 0.1651
Hg 0.1657 0.6692 0.8349
Hg 0.6692 0.1657 0.8349
Hg 0.8343 0.3308 0.1651
Hg 0.1652 0.1652 0.3305
Hg 0.8348 0.8348 0.6695

Calculated values
relative energy among the computed polymorphs = 0.00 kJ/mol of atoms
magnetization = 0.0 μB per cell
volume = 314.4 Å³ per cell
ΔE_f = -2.3 eV/f.u.